Record 1
DFT (PBE-GGA) results for a relaxed structure of CaBeSi2Rh.

## Properties
Formation energy (no corrections)   -0.569 eV per atom

abc: 5.794 5.794 5.794
angles: 139.85 139.85 58.08
Element x y z (fractional)
1 Ca 0.000 0.000 0.000
2 Be 0.250 0.750 0.500
3 Si 0.379 0.379 0.000
4 Si 0.621 0.621 0.000
5 Rh 0.750 0.250 0.500

Record 2
DFT (PBE-GGA) results for a relaxed structure of KMnBi3.

## Properties
Excess energy over the best structure of this formula in the dataset   5.45 eV/f.u.

abc: 5.897 5.897 5.897
angles: 90.00 90.00 90.00
Element x y z (fractional)
1 K 0.000 0.000 0.000
2 Mn 0.500 0.500 0.500
3 Bi 0.000 0.000 0.500
4 Bi 0.000 0.500 0.000
5 Bi 0.500 0.000 0.000

Record 3
DFT (PBE-GGA) results for a relaxed structure of HoPuCu2S4.

## Properties
Formation energy (no corrections)   -1.078 eV per atom

abc: 5.905 5.905 5.905
angles: 113.27 112.27 103.05
Element x y z (fractional)
1 Ho 0.000 0.000 0.000
2 Pu 0.500 0.500 0.000
3 Cu 0.181 0.681 0.500
4 Cu 0.819 0.319 0.500
5 S 0.021 0.036 0.475
6 S 0.439 0.964 0.985
7 S 0.561 0.547 0.525
8 S 0.979 0.453 0.015

Record 4
DFT (PBE-GGA) results for a relaxed structure of Ba6Na2PPt.

abc: 8.986 8.986 8.986
angles: 119.97 119.97 90.05
Element x y z (fractional)
1 Ba 0.000 0.000 0.000
2 Ba 0.000 0.000 0.500
3 Ba 0.000 0.500 0.000
4 Ba 0.500 0.000 0.000
5 Ba 0.500 0.500 0.000
6 Ba 0.500 0.500 0.500
7 Na 0.000 0.500 0.500
8 Na 0.500 0.000 0.500
9 P 0.250 0.250 0.000
10 Pt 0.750 0.750 0.000

Record 5
DFT (PBE-GGA) results for a relaxed structure of Tb2YRh.

## Properties
Excess energy over the best structure of this formula in the dataset   0.53 eV/f.u.

abc: 3.522 3.522 8.636
angles: 90.00 90.00 90.00
Element x y z (fractional)
1 Tb 0.000 0.000 0.189
2 Tb 0.000 0.000 0.811
3 Y 0.500 0.500 0.500
4 Rh 0.500 0.500 0.000

Record 6
DFT (PBE-GGA) results for a relaxed structure of PuInAgO6.

## Properties
Formation energy (no corrections)   -1.421 eV per atom

abc: 5.531 5.531 4.802
angles: 90.00 90.00 120.00
Element x y z (fractional)
1 Pu 0.000 0.000 0.000
2 In 0.333 0.667 0.000
3 Ag 0.667 0.333 0.500
4 O 0.009 0.309 0.768
5 O 0.009 0.700 0.232
6 O 0.300 0.309 0.232
7 O 0.300 0.991 0.768
8 O 0.691 0.700 0.768
9 O 0.691 0.991 0.232

Record 7
DFT (PBE-GGA) results for a relaxed structure of CoBr.

## Properties
Excess energy over the best structure of this formula in the dataset   0.86 eV/f.u.
Formation energy (no corrections)   0.314 eV per atom

abc: 7.545 7.545 3.407
angles: 90.00 90.00 152.71
Element x y z (fractional)
1 Co 0.051 0.949 0.750
2 Co 0.949 0.051 0.250
3 Br 0.378 0.622 0.750
4 Br 0.622 0.378 0.250

Record 8
DFT (PBE-GGA) results for a relaxed structure of SrLi2Sb2.

## Properties
Excess energy over the best structure of this formula in the dataset   1.21 eV/f.u.
Formation energy (no corrections)   -0.499 eV per atom

abc: 8.707 8.707 3.491
angles: 90.00 90.00 90.00
Element x y z (fractional)
1 Sr 0.000 0.000 0.000
2 Sr 0.500 0.500 0.000
3 Li 0.125 0.375 0.500
4 Li 0.375 0.875 0.500
5 Li 0.625 0.125 0.500
6 Li 0.875 0.625 0.500
7 Sb 0.163 0.663 0.000
8 Sb 0.337 0.163 0.000
9 Sb 0.663 0.837 0.000
10 Sb 0.837 0.337 0.000

Record 9
DFT (PBE-GGA) results for a relaxed structure of BaZn2Hg.

abc: 4.741 4.868 5.250
angles: 90.00 90.00 90.00
Element x y z (fractional)
1 Ba 0.000 0.000 0.000
2 Zn 0.500 0.500 0.244
3 Zn 0.500 0.500 0.756
4 Hg 0.000 0.500 0.500

Record 10
DFT (PBE-GGA) results for a relaxed structure of KCd2Ir.

## Properties
Excess energy over the best structure of this formula in the dataset   0.25 eV/f.u.

abc: 3.057 3.922 8.034
angles: 90.00 90.20 90.00
Element x y z (fractional)
1 K 0.000 0.000 0.000
2 Cd 0.499 0.500 0.323
3 Cd 0.501 0.500 0.677
4 Ir 0.000 0.000 0.500

Record 11
DFT (PBE-GGA) results for a relaxed structure of AgPbO.

## Properties
Formation energy (no corrections)   -0.291 eV per atom

abc: 3.589 3.589 6.139
angles: 106.78 106.78 59.89
Element x y z (fractional)
1 Ag 0.000 0.000 0.000
2 Pb 0.475 0.475 0.420
3 O 0.871 0.871 0.612

Record 12
DFT (PBE-GGA) results for a relaxed structure of BeZn3Co.

## Properties
Excess energy over the best structure of this formula in the dataset   0.94 eV/f.u.

abc: 4.495 4.495 4.495
angles: 90.00 90.00 90.00
Element x y z (fractional)
1 Be 0.000 0.000 0.000
2 Zn 0.000 0.500 0.500
3 Zn 0.500 0.000 0.500
4 Zn 0.500 0.500 0.000
5 Co 0.500 0.500 0.500

Record 13
DFT (PBE-GGA) results for a relaxed structure of YHg2Se2.

## Properties
Formation energy (no corrections)   -0.527 eV per atom

abc: 7.515 7.515 4.698
angles: 90.00 90.00 90.00
Element x y z (fractional)
1 Y 0.000 0.000 0.000
2 Y 0.500 0.500 0.000
3 Hg 0.148 0.352 0.500
4 Hg 0.352 0.852 0.500
5 Hg 0.648 0.148 0.500
6 Hg 0.852 0.648 0.500
7 Se 0.165 0.665 0.000
8 Se 0.335 0.165 0.000
9 Se 0.665 0.835 0.000
10 Se 0.835 0.335 0.000

Record 14
DFT (PBE-GGA) results for a relaxed structure of K3Zr5O12.

## Properties
Formation energy (no corrections)   -2.763 eV per atom

abc: 12.009 12.009 12.009
angles: 109.47 109.47 109.47
Element x y z (fractional)
1 K 0.125 0.250 0.375
2 K 0.125 0.375 0.750
3 K 0.250 0.375 0.125
4 K 0.250 0.875 0.625
5 K 0.375 0.125 0.250
6 K 0.375 0.750 0.125
7 K 0.625 0.250 0.875
8 K 0.625 0.875 0.750
9 K 0.750 0.125 0.375
10 K 0.750 0.625 0.875
11 K 0.875 0.625 0.250
12 K 0.875 0.750 0.625
13 Zr 0.000 0.000 0.000
14 Zr 0.000 0.000 0.500
15 Zr 0.000 0.500 0.000
16 Zr 0.000 0.500 0.500
17 Zr 0.125 0.750 0.875
18 Zr 0.125 0.875 0.250
19 Zr 0.250 0.125 0.875
20 Zr 0.250 0.625 0.375
21 Zr 0.375 0.250 0.625
22 Zr 0.375 0.625 0.750
23 Zr 0.500 0.000 0.000
24 Zr 0.500 0.000 0.500
25 Zr 0.500 0.500 0.000
26 Zr 0.500 0.500 0.500
27 Zr 0.625 0.375 0.250
28 Zr 0.625 0.750 0.375
29 Zr 0.750 0.375 0.625
30 Zr 0.750 0.875 0.125
31 Zr 0.875 0.125 0.750
32 Zr 0.875 0.250 0.125
33 O 0.004 0.184 0.107
34 O 0.004 0.319 0.897
35 O 0.078 0.684 0.681
36 O 0.078 0.893 0.397
37 O 0.103 0.607 0.422
38 O 0.103 0.996 0.681
39 O 0.107 0.004 0.184
40 O 0.107 0.603 0.922
41 O 0.181 0.184 0.578
42 O 0.181 0.496 0.603
43 O 0.184 0.107 0.004
44 O 0.184 0.578 0.181
45 O 0.316 0.319 0.922
46 O 0.316 0.496 0.393
47 O 0.319 0.897 0.004
48 O 0.319 0.922 0.316
49 O 0.393 0.316 0.496
50 O 0.393 0.578 0.897
51 O 0.397 0.078 0.893
52 O 0.397 0.819 0.504
53 O 0.422 0.103 0.607
54 O 0.422 0.819 0.816
55 O 0.496 0.393 0.316
56 O 0.496 0.603 0.181
57 O 0.504 0.397 0.819
58 O 0.504 0.607 0.684
59 O 0.578 0.181 0.184
60 O 0.578 0.897 0.393
61 O 0.603 0.181 0.496
62 O 0.603 0.922 0.107
63 O 0.607 0.422 0.103
64 O 0.607 0.684 0.504
65 O 0.681 0.078 0.684
66 O 0.681 0.103 0.996
67 O 0.684 0.504 0.607
68 O 0.684 0.681 0.078
69 O 0.816 0.422 0.819
70 O 0.816 0.893 0.996
71 O 0.819 0.504 0.397
72 O 0.819 0.816 0.422
73 O 0.893 0.397 0.078
74 O 0.893 0.996 0.816
75 O 0.897 0.004 0.319
76 O 0.897 0.393 0.578
77 O 0.922 0.107 0.603
78 O 0.922 0.316 0.319
79 O 0.996 0.681 0.103
80 O 0.996 0.816 0.893

Record 15
DFT (PBE-GGA) results for a relaxed structure of BaCu2As.

abc: 4.270 4.624 4.606
angles: 90.00 90.60 90.00
Element x y z (fractional)
1 Ba 0.000 0.000 0.000
2 Cu 0.500 0.000 0.500
3 Cu 0.500 0.500 0.000
4 As 0.000 0.500 0.500

Record 16
DFT (PBE-GGA) results for a relaxed structure of Pu2Cu2P3.

## Properties
Excess energy over the best structure of this formula in the dataset   0.00 eV/f.u.

abc: 7.490 7.490 10.943
angles: 124.30 124.30 30.36
Element x y z (fractional)
1 Pu 0.106 0.106 0.449
2 Pu 0.232 0.232 0.832
3 Pu 0.768 0.768 0.168
4 Pu 0.894 0.894 0.551
5 Cu 0.083 0.083 0.151
6 Cu 0.454 0.454 0.175
7 Cu 0.546 0.546 0.825
8 Cu 0.917 0.917 0.849
9 P 0.120 0.120 0.969
10 P 0.342 0.342 0.689
11 P 0.426 0.426 0.375
12 P 0.574 0.574 0.625
13 P 0.658 0.658 0.311
14 P 0.880 0.880 0.031

Record 17
DFT (PBE-GGA) results for a relaxed structure of La4Nd5Ho2.

## Properties
Excess energy over the best structure of this formula in the dataset   0.00 eV/f.u.

abc: 9.205 9.205 11.933
angles: 94.11 94.11 22.60
Element x y z (fractional)
1 La 0.040 0.040 0.263
2 La 0.358 0.358 0.205
3 La 0.642 0.642 0.795
4 La 0.960 0.960 0.737
5 Nd 0.096 0.096 0.539
6 Nd 0.179 0.179 0.074
7 Nd 0.500 0.500 0.000
8 Nd 0.821 0.821 0.926
9 Nd 0.904 0.904 0.461
10 Ho 0.283 0.283 0.637
11 Ho 0.717 0.717 0.363

Record 18
DFT (PBE-GGA) results for a relaxed structure of AcCeDyTl.

abc: 5.627 5.627 5.627
angles: 60.00 60.00 60.00
Element x y z (fractional)
1 Ac 0.000 0.000 0.000
2 Ce 0.250 0.250 0.250
3 Dy 0.750 0.750 0.750
4 Tl 0.500 0.500 0.500

Record 19
DFT (PBE-GGA) results for a relaxed structure of YTh2S6.

## Properties
Formation energy (no corrections)   -1.690 eV per atom

abc: 6.455 6.455 12.669
angles: 90.00 90.00 90.00
Element x y z (fractional)
1 Y 0.000 0.000 0.000
2 Y 0.500 0.500 0.500
3 Th 0.000 0.000 0.332
4 Th 0.000 0.000 0.668
5 Th 0.500 0.500 0.168
6 Th 0.500 0.500 0.832
7 S 0.196 0.196 0.163
8 S 0.196 0.196 0.837
9 S 0.197 0.197 0.500
10 S 0.303 0.697 0.000
11 S 0.304 0.696 0.337
12 S 0.304 0.696 0.663
13 S 0.696 0.304 0.337
14 S 0.696 0.304 0.663
15 S 0.697 0.303 0.000
16 S 0.803 0.803 0.500
17 S 0.804 0.804 0.163
18 S 0.804 0.804 0.837

Record 20
DFT (PBE-GGA) results for a relaxed structure of LiCaSmCu.

abc: 5.149 5.149 5.149
angles: 60.00 60.00 60.00
Element x y z (fractional)
1 Li 0.000 0.000 0.000
2 Ca 0.250 0.250 0.250
3 Sm 0.750 0.750 0.750
4 Cu 0.500 0.500 0.500

| no. | electronic total energy (eV for the cell shown) |
| --- | --- |
| 1 | -26.77 |
| 2 | -14.93 |
| 3 | -52.23 |
| 4 | -29.75 |
| 5 | -24.61 |
| 6 | -62.46 |
| 7 | -16.30 |
| 8 | -32.50 |
| 9 | -5.43 |
| 10 | -10.85 |
| 11 | -12.39 |
| 12 | -10.63 |
| 13 | -33.35 |
| 14 | -643.17 |
| 15 | -13.89 |
| 16 | -116.60 |
| 17 | -51.87 |
| 18 | -16.75 |
| 19 | -122.55 |
| 20 | -12.72 |